(1)
# PBE RbGe4Br8, optimized geometry
# Uncorrected formation energy: -0.6072 eV per atom
# Calculated total energy: -3.13 eV/atom
# Total magnetization: 0.000 μB/atom
data_RbGe4Br8
_chemical_formula_sum 'Rb2 Ge8 Br16'
_space_group_name_H-M_alt 'C 1 2/m 1'
_space_group_IT_number 12
_cell_length_a 14.813
_cell_length_b 8.418
_cell_length_c 10.898
_cell_angle_alpha 90.00
_cell_angle_beta 131.52
_cell_angle_gamma 90.00
loop_
_space_group_symop_operation_xyz
'x,y,z'
'-x,-y,-z'
'-x,y,-z'
'x,-y,z'
'x+1/2,y+1/2,z'
'-x+1/2,-y+1/2,-z'
'-x+1/2,y+1/2,-z'
'x+1/2,-y+1/2,z'
loop_
_atom_site_label
_atom_site_type_symbol
_atom_site_fract_x
_atom_site_fract_y
_atom_site_fract_z
Rb1 Rb 0.000 0.000 0.000
Ge1 Ge 0.000 0.254 0.500
Ge2 Ge 0.242 0.500 0.485
Br1 Br 0.006 0.000 0.683
Br2 Br 0.009 0.500 0.688
Br3 Br 0.242 0.249 0.312

(2)
# PBE KTc2Au, optimized geometry
# Calculated total energy: -5.28 eV/atom
# Total magnetization: 0.139 μB/atom
# Energy of formation from the pure elements: 1000 meV/atom
data_KTc2Au
_chemical_formula_sum 'K3 Tc6 Au3'
_space_group_name_H-M_alt 'R -3 m'
_space_group_IT_number 166
_space_group_name_Hall '-R 3 2"'
_cell_length_a 2.8224
_cell_length_b 2.8224
_cell_length_c 32.1233
_cell_angle_alpha 90.00
_cell_angle_beta 90.00
_cell_angle_gamma 120.00
loop_
_atom_site_label
_atom_site_type_symbol
_atom_site_fract_x
_atom_site_fract_y
_atom_site_fract_z
K1 K 0.0000 0.0000 0.0000
Tc1 Tc 0.0000 0.0000 0.2393
Au1 Au 0.0000 0.0000 0.5000

(3)
# PBE PrErH2, optimized geometry
# Calculated total energy: -4.29 eV/atom
# Total magnetization: 0.000 μB/atom
data_PrErH2
_chemical_formula_sum 'Pr3 Er3 H6'
_space_group_name_H-M_alt 'R 3 m'
_space_group_IT_number 160
_space_group_name_Hall 'R 3 -2"'
_cell_length_a 3.5450
_cell_length_b 3.5450
_cell_length_c 18.1176
_cell_angle_alpha 90.00
_cell_angle_beta 90.00
_cell_angle_gamma 120.00
loop_
_atom_site_label
_atom_site_type_symbol
_atom_site_fract_x
_atom_site_fract_y
_atom_site_fract_z
Pr1 Pr 0.0000 0.0000 0.0000
Er1 Er 0.0000 0.0000 0.1785
H1 H 0.0000 0.0000 0.5777
H2 H 0.0000 0.0000 0.7829

(4)
# PBE PmZnHgPt, optimized geometry
# Calculated total energy: -3.59 eV/atom
# Total magnetization: 0.000 μB/atom
# Energy of formation from the pure elements: -494 meV/atom
data_PmZnHgPt
_chemical_formula_sum 'Pm4 Zn4 Hg4 Pt4'
_space_group_name_H-M_alt 'F -4 3 m'
_space_group_IT_number 216
_space_group_name_Hall 'F -4 2 3'
_cell_length_a 6.930
_cell_length_b 6.930
_cell_length_c 6.930
_cell_angle_alpha 90.00
_cell_angle_beta 90.00
_cell_angle_gamma 90.00
loop_
_atom_site_label
_atom_site_type_symbol
_atom_site_fract_x
_atom_site_fract_y
_atom_site_fract_z
Pm1 Pm 0.000 0.000 0.000
Zn1 Zn 0.250 0.250 0.750
Hg1 Hg 0.000 0.000 0.500
Pt1 Pt 0.250 0.250 0.250

(5)
# PBE Li2CaMn, optimized geometry
# Calculated total energy: -3.28 eV/atom
# Total magnetization: 1.081 μB/atom
# Energy of formation from the pure elements: 471 meV/atom
data_Li2CaMn
_chemical_formula_sum 'Li6 Ca3 Mn3'
_space_group_name_H-M_alt 'R -3 m'
_space_group_IT_number 166
_space_group_name_Hall '-R 3 2"'
_cell_length_a 3.3132
_cell_length_b 3.3132
_cell_length_c 30.4510
_cell_angle_alpha 90.00
_cell_angle_beta 90.00
_cell_angle_gamma 120.00
loop_
_atom_site_label
_atom_site_type_symbol
_atom_site_fract_x
_atom_site_fract_y
_atom_site_fract_z
Li1 Li 0.0000 0.0000 0.2387
Ca1 Ca 0.0000 0.0000 0.0000
Mn1 Mn 0.0000 0.0000 0.5000

(6)
# PBE CdCu2SeS, optimized geometry
# Uncorrected formation energy: 0.0760 eV per atom
# Calculated total energy: -3.27 eV/atom
# Total magnetization: 0.000 μB/atom
data_CdCu2SeS
_chemical_formula_sum 'Cd1 Cu2 Se1 S1'
_space_group_name_H-M_alt 'P 4/m m m'
_space_group_IT_number 123
_space_group_name_Hall '-P 4 2'
_cell_length_a 4.135
_cell_length_b 4.135
_cell_length_c 8.151
_cell_angle_alpha 90.00
_cell_angle_beta 90.00
_cell_angle_gamma 90.00
loop_
_atom_site_label
_atom_site_type_symbol
_atom_site_fract_x
_atom_site_fract_y
_atom_site_fract_z
Cd1 Cd 0.000 0.000 0.000
Cu1 Cu 0.000 0.500 0.500
Se1 Se 0.500 0.500 0.000
S1 S 0.500 0.500 0.500

(7)
# PBE Tm6ThSe8, optimized geometry
# Uncorrected formation energy: -1.7079 eV per atom
# Calculated total energy: -5.85 eV/atom
# Total magnetization: 0.000 μB/atom
data_Tm6ThSe8
_chemical_formula_sum 'Tm24 Th4 Se32'
_space_group_name_H-M_alt 'F m -3 m'
_space_group_IT_number 225
_space_group_name_Hall '-F 4 2 3'
_cell_length_a 11.356
_cell_length_b 11.356
_cell_length_c 11.356
_cell_angle_alpha 90.00
_cell_angle_beta 90.00
_cell_angle_gamma 90.00
loop_
_atom_site_label
_atom_site_type_symbol
_atom_site_fract_x
_atom_site_fract_y
_atom_site_fract_z
Tm1 Tm 0.000 0.250 0.250
Th1 Th 0.000 0.000 0.000
Se1 Se 0.000 0.000 0.264
Se2 Se 0.250 0.250 0.250

(8)
# PBE KIrI2, optimized geometry
# Uncorrected formation energy: 0.4608 eV per atom
# Calculated total energy: -2.80 eV/atom
# Total magnetization: 0.508 μB/atom
data_KIrI2
_chemical_formula_sum 'K4 Ir4 I8'
_space_group_name_H-M_alt 'F m -3 m'
_space_group_IT_number 225
_space_group_name_Hall '-F 4 2 3'
_cell_length_a 7.685
_cell_length_b 7.685
_cell_length_c 7.685
_cell_angle_alpha 90.00
_cell_angle_beta 90.00
_cell_angle_gamma 90.00
loop_
_atom_site_label
_atom_site_type_symbol
_atom_site_fract_x
_atom_site_fract_y
_atom_site_fract_z
K1 K 0.000 0.000 0.000
Ir1 Ir 0.000 0.000 0.500
I1 I 0.250 0.250 0.250

(9)
# PBE Pr3Nd7In, optimized geometry
# Calculated total energy: -4.50 eV/atom
# Total magnetization: 0.000 μB/atom
# Energy of formation from the pure elements: 82 meV/atom
data_Pr3Nd7In
_chemical_formula_sum 'Pr3 Nd7 In1'
_space_group_name_H-M_alt 'P 3 m 1'
_space_group_IT_number 156
_cell_length_a 7.1781
_cell_length_b 7.1781
_cell_length_c 8.8073
_cell_angle_alpha 90.00
_cell_angle_beta 90.00
_cell_angle_gamma 120.00
loop_
_space_group_symop_operation_xyz
'x,y,z'
'-y,x-y,z'
'-x+y,-x,z'
'-y,-x,z'
'-x+y,y,z'
'x,x-y,z'
loop_
_atom_site_label
_atom_site_type_symbol
_atom_site_fract_x
_atom_site_fract_y
_atom_site_fract_z
Pr1 Pr 0.0010 0.5005 0.0000
Nd1 Nd 0.1690 0.3380 0.3461
Nd2 Nd 0.3374 0.1687 0.6671
Nd3 Nd 0.6667 0.3333 0.3317
In1 In 0.3333 0.6667 0.6711

(10)
# PBE Al2Zn2Ni5Ge, optimized geometry
# Calculated total energy: -4.60 eV/atom
# Total magnetization: 0.000 μB/atom
# Energy of formation from the pure elements: -246 meV/atom
data_Al2Zn2Ni5Ge
_chemical_formula_sum 'Al4 Zn4 Ni10 Ge2'
_space_group_name_H-M_alt 'P 4/m b m'
_space_group_IT_number 127
_space_group_name_Hall '-P 4 2ab'
_cell_length_a 9.827
_cell_length_b 9.827
_cell_length_c 2.748
_cell_angle_alpha 90.00
_cell_angle_beta 90.00
_cell_angle_gamma 90.00
loop_
_atom_site_label
_atom_site_type_symbol
_atom_site_fract_x
_atom_site_fract_y
_atom_site_fract_z
Al1 Al 0.145 0.355 0.000
Zn1 Zn 0.146 0.646 0.000
Ni1 Ni 0.000 0.500 0.500
Ni2 Ni 0.142 0.148 0.500
Ge1 Ge 0.000 0.000 0.000

(11)
# PBE Sr4I, optimized geometry
# Uncorrected formation energy: -0.2376 eV per atom
# Calculated total energy: -1.89 eV/atom
# Total magnetization: 0.216 μB/atom
data_Sr4I
_chemical_formula_sum 'Sr4 I1'
_space_group_name_H-M_alt 'P m -3 m'
_space_group_IT_number 221
_space_group_name_Hall '-P 4 2 3'
_cell_length_a 6.500
_cell_length_b 6.500
_cell_length_c 6.500
_cell_angle_alpha 90.00
_cell_angle_beta 90.00
_cell_angle_gamma 90.00
loop_
_atom_site_label
_atom_site_type_symbol
_atom_site_fract_x
_atom_site_fract_y
_atom_site_fract_z
Sr1 Sr 0.000 0.000 0.000
Sr2 Sr 0.000 0.500 0.500
I1 I 0.500 0.500 0.500

(12)
# PBE La5Hg2N, optimized geometry
# Uncorrected formation energy: -0.3384 eV per atom
# Calculated total energy: -4.53 eV/atom
# Total magnetization: 0.000 μB/atom
data_La5Hg2N
_chemical_formula_sum 'La20 Hg8 N4'
_space_group_name_H-M_alt 'C m c m'
_space_group_IT_number 63
_space_group_name_Hall '-C 2c 2'
_cell_length_a 5.713
_cell_length_b 15.385
_cell_length_c 12.259
_cell_angle_alpha 90.00
_cell_angle_beta 90.00
_cell_angle_gamma 90.00
loop_
_atom_site_label
_atom_site_type_symbol
_atom_site_fract_x
_atom_site_fract_y
_atom_site_fract_z
La1 La 0.000 0.075 0.112
La2 La 0.000 0.297 0.095
La3 La 0.000 0.330 0.750
Hg1 Hg 0.000 0.132 0.635
N1 N 0.000 0.183 0.250

(13)
# PBE ScCu2Ir, optimized geometry
# Calculated total energy: -5.83 eV/atom
# Total magnetization: 0.000 μB/atom
# Energy of formation from the pure elements: 20 meV/atom
data_ScCu2Ir
_chemical_formula_sum 'Sc3 Cu6 Ir3'
_space_group_name_H-M_alt 'R 3 m'
_space_group_IT_number 160
_space_group_name_Hall 'R 3 -2"'
_cell_length_a 2.9526
_cell_length_b 2.9526
_cell_length_c 24.6086
_cell_angle_alpha 90.00
_cell_angle_beta 90.00
_cell_angle_gamma 120.00
loop_
_atom_site_label
_atom_site_type_symbol
_atom_site_fract_x
_atom_site_fract_y
_atom_site_fract_z
Sc1 Sc 0.0000 0.0000 0.0000
Cu1 Cu 0.0000 0.0000 0.5002
Cu2 Cu 0.0000 0.0000 0.7576
Ir1 Ir 0.0000 0.0000 0.2511